Computed, not measured: a relaxed structure of P2OsO at the PBE-GGA level of DFT.

Properties
ΔE_f (raw) in kJ/mol of atoms: 5.6
Density in Mg/m³: 7.0
Volume in Å³ per cell: 253.1

Unit cell a=5.122 b=5.122 c=9.647 alpha=90.00 beta=90.00 gamma=90.00
Fractional positions:
P1 0.232 0.250 0.125
P2 0.250 0.732 0.375
P3 0.250 0.768 0.875
P4 0.268 0.250 0.625
P5 0.732 0.750 0.625
P6 0.750 0.232 0.875
P7 0.750 0.268 0.375
P8 0.768 0.750 0.125
Os1 0.000 0.000 0.500
Os2 0.000 0.500 0.750
Os3 0.500 0.000 0.250
Os4 0.500 0.500 0.000
O1 0.000 0.000 0.000
O2 0.000 0.500 0.250
O3 0.500 0.000 0.750
O4 0.500 0.500 0.500


Computed, not measured: a relaxed structure of P2OsO2 at the PBE-GGA level of DFT.

Properties
Relative energy among the computed polymorphs in eV per formula unit: 0.00
ΔE_f (raw) in kJ/mol of atoms: -12.2
Density in Mg/m³: 6.4
Volume in Å³ per cell: 74.1

Unit cell a=3.701 b=3.701 c=5.409 alpha=90.00 beta=90.00 gamma=90.00
Fractional positions:
P1 0.000 0.000 0.000
P2 0.500 0.500 0.000
Os1 0.000 0.000 0.500
O1 0.000 0.500 0.500
O2 0.500 0.000 0.500


Computed, not measured: a relaxed structure of P2OsPbO8 at the PBE-GGA level of DFT.

Properties
ΔE_f (raw) in kJ/mol of atoms: -163.7
Density in Mg/m³: 5.9
Volume in Å³ per cell: 164.3

Unit cell a=4.863 b=4.863 c=7.655 alpha=92.54 beta=92.54 gamma=65.37
Fractional positions:
P1 0.137 0.137 0.287
P2 0.863 0.863 0.713
Os1 0.500 0.500 0.500
Pb1 0.500 0.500 0.000
O1 0.201 0.201 0.104
O2 0.218 0.728 0.696
O3 0.262 0.262 0.445
O4 0.272 0.782 0.304
O5 0.728 0.218 0.696
O6 0.738 0.738 0.555
O7 0.782 0.272 0.304
O8 0.799 0.799 0.896


Computed, not measured: a relaxed structure of POsPdO2 at the PBE-GGA level of DFT.

Properties
Relative energy among the computed polymorphs in eV per formula unit: 0.00
ΔE_f (raw) in kJ/mol of atoms: -33.3
Density in Mg/m³: 8.2
Volume in Å³ per cell: 73.1

Unit cell a=3.681 b=3.681 c=5.396 alpha=90.00 beta=90.00 gamma=90.00
Fractional positions:
P1 0.000 0.000 0.000
Os1 0.000 0.000 0.500
Pd1 0.500 0.500 0.000
O1 0.000 0.500 0.500
O2 0.500 0.000 0.500


Computed, not measured: a relaxed structure of P2OsPdO at the PBE-GGA level of DFT.

Properties
Relative energy among the computed polymorphs in eV per formula unit: 0.00
ΔE_f (raw) in kJ/mol of atoms: 16.4
Density in Mg/m³: 7.6
Volume in Å³ per cell: 81.6

Unit cell a=4.739 b=4.739 c=3.633 alpha=90.00 beta=90.00 gamma=90.00
Fractional positions:
P1 0.000 0.500 0.000
P2 0.500 0.000 0.000
Os1 0.000 0.000 0.000
Pd1 0.500 0.500 0.500
O1 0.000 0.000 0.500


Computed, not measured: a relaxed structure of P2OsPdO at the PBE-GGA level of DFT.

Properties
Relative energy among the computed polymorphs in eV per formula unit: 4.74
ΔE_f (raw) in kJ/mol of atoms: 107.9
Density in Mg/m³: 7.8
Volume in Å³ per cell: 79.9

Unit cell a=4.680 b=4.680 c=3.649 alpha=90.00 beta=90.00 gamma=90.00
Fractional positions:
P1 0.000 0.500 0.000
P2 0.500 0.000 0.000
Os1 0.000 0.000 0.500
Pd1 0.500 0.500 0.000
O1 0.500 0.500 0.500